(1)
# La3CuGeS7

La3CuGeS7 after structural relaxation (GGA-PBE, the Alexandria database).

```
La3CuGeS7
1.0
-4.143 -9.437 -1.111
2.722 3.391 9.410
-5.417 2.291 0.741
La Cu Ge S
6 2 2 14
direct
0.356 0.230 0.318
0.230 0.874 0.818
0.874 0.644 0.318
0.770 0.126 0.318
0.126 0.356 0.818
0.644 0.770 0.818
0.000 0.000 0.291
0.000 0.000 0.791
0.333 0.667 0.401
0.667 0.333 0.901
0.521 0.107 0.052
0.752 0.839 0.301
0.479 0.893 0.552
0.333 0.667 0.029
0.107 0.586 0.552
0.893 0.414 0.052
0.248 0.161 0.801
0.414 0.521 0.552
0.586 0.479 0.052
0.088 0.248 0.301
0.667 0.333 0.529
0.912 0.752 0.801
0.839 0.088 0.801
0.161 0.912 0.301
```

## Properties
Theoretical density, g/cm3: 4.68
Space-group type: P6_3 (173)
Size of the total moment, μB/f.u.: 0.00
Uncorrected formation energy, eV per atom: -1.565


(2)
# TbPrThZr

TbPrThZr after structural relaxation (GGA-PBE, the Alexandria database).

```
TbPrThZr
1.0
5.533 0.000 0.000
2.766 4.791 0.000
2.766 1.597 4.517
Pr Tb Zr Th
1 1 1 1
direct
0.500 0.500 0.500
0.750 0.750 0.750
0.250 0.250 0.250
0.000 0.000 0.000
```

## Properties
Electronic total energy, eV per atom: -6.164
Theoretical density, g/cm3: 8.64
Space-group type: F-43m (216)
Size of the total moment, μB/f.u.: 0.00


(3)
# Ti3IN

Ti3IN after structural relaxation (GGA-PBE, the Alexandria database).

```
Ti3IN
1.0
-1.817 -3.664 2.871
4.247 -0.043 2.632
-1.906 3.397 3.130
I N Ti
1 1 3
direct
0.000 0.000 0.000
0.500 0.500 0.500
0.000 0.500 0.000
0.000 0.000 0.500
0.500 0.000 0.000
```

## Properties
Theoretical density, g/cm3: 3.79
Space-group type: Pm-3m (221)
Size of the total moment, μB/f.u.: 4.35
Uncorrected formation energy, eV per atom: 2.066


(4)
# OsAuSe2

OsAuSe2 after structural relaxation (GGA-PBE, the Alexandria database).

```
OsAuSe2
1.0
-2.403 1.287 1.162
-1.349 -0.344 -2.408
-2.024 -8.644 5.394
Au Os Se
1 1 2
direct
0.500 0.250 0.250
0.500 0.750 0.750
0.000 0.935 0.948
0.000 0.565 0.552
```

## Properties
Theoretical density, g/cm3: 10.93
Space-group type: P2/m (10)
Size of the total moment, μB/f.u.: 0.00
Uncorrected formation energy, eV per atom: 0.378


(5)
# NaBiS2Cl

NaBiS2Cl after structural relaxation (GGA-PBE, the Alexandria database).

```
NaBiS2Cl
1.0
5.249 0.000 0.000
0.000 5.249 0.000
0.000 0.000 5.531
Na S Bi Cl
1 2 1 1
direct
0.500 0.500 0.500
0.000 0.500 0.000
0.500 0.000 0.000
0.000 0.000 0.000
0.000 0.000 0.500
```

## Properties
Theoretical density, g/cm3: 3.61
Space-group type: P4/mmm (123)
Size of the total moment, μB/f.u.: 0.00
Uncorrected formation energy, eV per atom: -0.414


(6)
# CsBaNdBr6

CsBaNdBr6 after structural relaxation (GGA-PBE, the Alexandria database).

```
CsBaNdBr6
1.0
-1.112 -7.641 2.704
5.383 4.912 3.717
-10.818 4.850 9.257
Cs Ba Nd Br
2 2 2 12
direct
0.000 0.000 0.000
0.000 0.000 0.500
0.333 0.667 0.250
0.667 0.333 0.750
0.667 0.333 0.250
0.333 0.667 0.750
0.640 0.610 0.138
0.970 0.360 0.138
0.360 0.970 0.638
0.030 0.640 0.862
0.390 0.360 0.362
0.970 0.610 0.362
0.610 0.970 0.862
0.640 0.030 0.362
0.030 0.390 0.638
0.390 0.030 0.138
0.610 0.640 0.638
0.360 0.390 0.862
```

## Properties
Theoretical density, g/cm3: 3.41
Space-group type: P-31c (163)
Size of the total moment, μB/f.u.: 0.00
Uncorrected formation energy, eV per atom: -1.983


(7)
# Rb4Na2Cd3

Rb4Na2Cd3 after structural relaxation (GGA-PBE, the Alexandria database).

```
Rb4Na2Cd3
1.0
4.915 0.000 -1.355
-0.714 8.655 -2.588
0.209 0.161 10.347
Rb Na Cd
4 2 3
direct
0.244 0.717 0.488
0.756 0.283 0.512
0.573 0.891 0.147
0.427 0.109 0.853
0.408 0.530 0.815
0.592 0.470 0.185
0.085 0.257 0.171
0.915 0.743 0.829
0.000 0.500 0.000
```

## Properties
Electronic total energy, eV per atom: -1.027
Theoretical density, g/cm3: 2.71
Space-group type: C2/m (12)
Size of the total moment, μB/f.u.: 0.00


(8)
# MgIrRh2

MgIrRh2 after structural relaxation (GGA-PBE, the Alexandria database).

```
MgIrRh2
1.0
2.865 0.000 0.000
0.000 4.572 0.000
0.000 0.000 4.519
Ir Mg Rh
1 1 2
direct
0.500 0.000 0.500
0.000 0.500 0.500
0.000 0.000 0.000
0.500 0.500 0.000
```

## Properties
Electronic total energy, eV per atom: -6.363
Theoretical density, g/cm3: 11.85
Space-group type: Pmmm (47)
Size of the total moment, μB/f.u.: 0.00


Which value of theoretical density does entry 3 give? 3.79 g/cm3


Number 7 is which compound? Rb4Na2Cd3


Look up the theoretical density of the eighth one. 11.85 g/cm3


Number 4 is which compound? OsAuSe2